Compound: Ac2Nd5Y6
Source: Alexandria via LeMat-Bulk
Functional: PBE
Structure: relaxed

Cell: 3.6868 12.0941 20.8230 Å, 90.00 90.00 90.00°
With the nearest neighbours (Å) after each atom.
Element x y z (fractional)
Y  0.0000  0.0596  0.0750  5 Y 3.44-3.74, 6 Nd 3.51-3.70
Y  0.5000  0.8172  0.3792  2 Nd 3.33-3.35, 4 Y 3.62-3.69
Y  0.0000  0.4404  0.5750  5 Y 3.44-3.74, 6 Nd 3.51-3.70
Y  0.0000  0.5596  0.4250  5 Y 3.44-3.74, 6 Nd 3.51-3.70
Y  0.5000  0.1828  0.6208  2 Nd 3.33-3.35, 4 Y 3.62-3.69
Y  0.0000  0.5732  0.1379  6 Nd 3.52-3.74, 4 Y 3.62-3.69, 1 Ac 3.63
Y  0.5000  0.6828  0.8792  2 Nd 3.33-3.35, 4 Y 3.62-3.69
Y  0.0000  0.0732  0.3621  6 Nd 3.52-3.74, 4 Y 3.62-3.69, 1 Ac 3.63
Y  0.5000  0.3172  0.1208  2 Nd 3.33-3.35, 4 Y 3.62-3.69
Y  0.0000  0.4268  0.8621  6 Nd 3.52-3.74, 4 Y 3.62-3.69, 1 Ac 3.63
Y  0.0000  0.9268  0.6379  6 Nd 3.52-3.74, 4 Y 3.62-3.69, 1 Ac 3.63
Y  0.0000  0.9404  0.9250  5 Y 3.44-3.74, 6 Nd 3.51-3.70
Nd  0.5000  0.4033  0.7169  5 Y 3.33-3.55, 4 Ac 3.64-3.67, 2 Nd 3.69
Nd  0.5000  0.5967  0.2831  5 Y 3.33-3.55, 4 Ac 3.64-3.67, 2 Nd 3.69
Nd  0.5000  0.7972  0.0515  7 Y 3.65-3.84, 3 Nd 3.69-3.75, 2 Ac 4.02
Nd  0.5000  0.0967  0.2169  5 Y 3.33-3.55, 4 Ac 3.64-3.67, 2 Nd 3.69
Nd  0.5000  0.2028  0.9485  7 Y 3.65-3.84, 3 Nd 3.69-3.75, 2 Ac 4.02
Nd  0.5000  0.5000  0.0000  6 Y 3.35-3.52, 2 Nd 3.69
Nd  0.5000  0.7028  0.5515  7 Y 3.65-3.84, 3 Nd 3.69-3.75, 2 Ac 4.02
Nd  0.5000  0.2972  0.4485  7 Y 3.65-3.84, 3 Nd 3.69-3.75, 2 Ac 4.02
Nd  0.5000  0.9033  0.7831  5 Y 3.33-3.55, 4 Ac 3.64-3.67, 2 Nd 3.69
Nd  0.5000  0.0000  0.5000  6 Y 3.35-3.52, 2 Nd 3.69
Ac  0.0000  0.1631  0.7787  4 Y 3.63-4.06, 6 Nd 3.64-4.02, 2 Ac 3.69
Ac  0.0000  0.3369  0.2787  4 Y 3.63-4.06, 6 Nd 3.64-4.02, 2 Ac 3.69
Ac  0.0000  0.6631  0.7213  4 Y 3.63-4.06, 6 Nd 3.64-4.02, 2 Ac 3.69
Ac  0.0000  0.8369  0.2213  4 Y 3.63-4.06, 6 Nd 3.64-4.02, 2 Ac 3.69

Properties
**Spin magnetization**: 0.00 μB per atom
**Energy of formation from the pure elements**: 0.102 eV/atom
**Space-group type**: Pbam (55)
**Uncorrected energy**: -139.0 eV/cell
**Fermi-level density of states**: 1.497 states/eV per atom


Compound: VBiMo
Source: Alexandria via LeMat-Bulk
Functional: PBE
Structure: relaxed

Cell: 3.3334 4.7581 8.1969 Å, 93.86 78.27 69.50°
With the nearest neighbours (Å) after each atom.
Element x y z (fractional)
Bi  0.7308  0.7860  0.7523  4 V 2.73-2.88, 5 Mo 2.90-3.03
Bi  0.2692  0.2140  0.2477  4 V 2.73-2.88, 5 Mo 2.90-3.03
Mo  0.8912  0.2778  0.9399  3 Mo 2.66-2.79, 1 V 2.83, 1 Bi 2.90
Mo  0.1088  0.7222  0.0601  3 Mo 2.66-2.79, 1 V 2.83, 1 Bi 2.90
V  0.1215  0.1734  0.5836  2 V 2.52, 1 Bi 2.73
V  0.8785  0.8266  0.4164  2 V 2.52, 1 Bi 2.73

Properties
**Spin magnetization**: 0.00 μB per atom
**Energy of formation from the pure elements**: 0.573 eV/atom
**Space-group type**: C2/m (12)
**Uncorrected energy**: -44.2 eV/cell
**Fermi-level density of states**: 0.627 states/eV per atom


Compound: MgAg2Ru
Source: Alexandria via LeMat-Bulk
Functional: PBE
Structure: relaxed

Cell: 4.1536 2.7660 6.4534 Å, 64.69 90.00 90.00°
With the nearest neighbours (Å) after each atom.
Element x y z (fractional)
Mg  0.0000  0.4848  0.5148  2 Mg 2.77, 6 Ag 2.79-3.04, 4 Ru 2.82-2.83
Ru  0.5000  0.7576  0.7416  2 Ru 2.77, 4 Mg 2.82-2.83, 6 Ag 2.87-2.97
Ag  0.0000  0.0067  0.9937  6 Ag 2.77-2.91, 2 Mg 2.79-3.04, 4 Ru 2.90
Ag  0.5000  0.2509  0.2498  6 Ag 2.77-2.91, 2 Ru 2.87-2.97, 4 Mg 2.93-2.94

Properties
**Spin magnetization**: 0.00 μB per atom
**Energy of formation from the pure elements**: 0.201 eV/atom
**Space-group type**: Pmm2 (25)
**Uncorrected energy**: -15.8 eV/cell
**Fermi-level density of states**: 0.823 states/eV per atom


Compound: SrPd5Pb7
Source: Alexandria via LeMat-Bulk
Functional: PBE
Structure: relaxed

Cell: 5.9971 7.7792 7.7792 Å, 82.80 67.33 67.33°
With the nearest neighbours (Å) after each atom.
Element x y z (fractional)
Pb  0.5239  0.1668  0.7854  5 Pd 2.84-3.10
Pb  0.3227  0.6773  0.6773  6 Pd 3.09-3.14, 1 Pb 3.20, 1 Sr 3.33
Pb  0.6423  0.3577  0.3577  4 Pd 3.16, 5 Pb 3.20-3.40, 1 Sr 3.48
Pb  0.5239  0.7854  0.1668  5 Pd 2.84-3.10
Pb  0.9827  0.6762  0.3585  3 Pd 2.89-3.02
Pb  0.9827  0.3585  0.6762  3 Pd 2.89-3.02
Pb  0.2724  0.2276  0.2276  4 Pd 2.92, 4 Pb 3.19-3.27
Pd  0.0109  0.4868  0.9981  6 Pb 2.87-3.16, 3 Pd 2.96-3.05
Pd  0.7289  0.7711  0.7711  6 Pb 2.84-3.14, 4 Pd 3.05
Pd  0.0109  0.9981  0.4868  6 Pb 2.87-3.16, 3 Pd 2.96-3.05
Pd  0.5042  0.4868  0.9981  6 Pb 2.87-3.16, 3 Pd 2.96-3.05
Pd  0.5042  0.9981  0.4868  6 Pb 2.87-3.16, 3 Pd 2.96-3.05
Sr  0.9903  0.0097  0.0097  10 Pb 3.33-3.71

Properties
**Spin magnetization**: 0.00 μB per atom
**Energy of formation from the pure elements**: -0.249 eV/atom
**Space-group type**: Imm2 (44)
**Uncorrected energy**: -56.8 eV/cell
**Fermi-level density of states**: 0.488 states/eV per atom


Compound: TlPd9Au2
Source: Alexandria via LeMat-Bulk
Functional: PBE
Structure: relaxed

Cell: 4.0377 4.0377 12.0316 Å, 90.00 90.00 90.00°
With the nearest neighbours (Å) after each atom.
Element x y z (fractional)
Pd  0.5000  0.0000  0.8296  2 Au 2.83, 8 Pd 2.83-2.88, 2 Tl 2.88
Pd  0.5000  0.0000  0.5000  8 Pd 2.82-2.86, 4 Au 2.83
Pd  0.5000  0.5000  0.6642  8 Pd 2.82-2.83, 4 Au 2.86
Pd  0.5000  0.5000  0.0000  4 Tl 2.86, 8 Pd 2.88
Pd  0.5000  0.5000  0.3358  8 Pd 2.82-2.83, 4 Au 2.86
Pd  0.0000  0.5000  0.1704  2 Au 2.83, 8 Pd 2.83-2.88, 2 Tl 2.88
Pd  0.5000  0.0000  0.1704  2 Au 2.83, 8 Pd 2.83-2.88, 2 Tl 2.88
Pd  0.0000  0.5000  0.5000  8 Pd 2.82-2.86, 4 Au 2.83
Pd  0.0000  0.5000  0.8296  2 Au 2.83, 8 Pd 2.83-2.88, 2 Tl 2.88
Au  0.0000  0.0000  0.6645  12 Pd 2.83-2.86
Au  0.0000  0.0000  0.3355  12 Pd 2.83-2.86
Tl  0.0000  0.0000  0.0000  12 Pd 2.86-2.88

Properties
**Spin magnetization**: 0.00 μB per atom
**Energy of formation from the pure elements**: -0.089 eV/atom
**Space-group type**: P4/mmm (123)
**Uncorrected energy**: -56.7 eV/cell
**Fermi-level density of states**: 1.298 states/eV per atom


Compound: Cs4Np3PbO12
Source: Alexandria via LeMat-Bulk
Functional: PBE
Structure: relaxed

Cell: 7.7470 7.7470 7.7470 Å, 109.47 109.47 109.47°
With the nearest neighbours (Å) after each atom.
Element x y z (fractional)
Cs  0.5000  0.0000  0.0000  12 O 3.16-3.18
Cs  0.0000  0.5000  0.0000  12 O 3.16-3.18
Cs  0.0000  0.0000  0.5000  12 O 3.16-3.18
Cs  0.5000  0.5000  0.5000  12 O 3.16-3.18
Pb  0.0000  0.0000  0.0000  6 O 2.55
O  0.7500  0.5000  0.2500  2 Np 2.24
O  0.2500  0.5000  0.7500  2 Np 2.24
O  0.0000  0.2845  0.2845  1 Np 1.93
O  0.7155  0.0000  0.7155  1 Np 1.93
O  0.2500  0.7500  0.5000  2 Np 2.24
O  0.5000  0.2500  0.7500  2 Np 2.24
O  0.0000  0.7155  0.7155  1 Np 1.93
O  0.2845  0.2845  0.0000  1 Np 1.93
O  0.5000  0.7500  0.2500  2 Np 2.24
O  0.7155  0.7155  0.0000  1 Np 1.93
O  0.2845  0.0000  0.2845  1 Np 1.93
O  0.7500  0.2500  0.5000  2 Np 2.24
Np  0.0000  0.5000  0.5000  2 O 1.93
Np  0.5000  0.5000  0.0000  2 O 1.93
Np  0.5000  0.0000  0.5000  2 O 1.93

Properties
**Spin magnetization**: 0.15 μB per atom
**Uncorrected formation energy**: -2.372 eV per atom
**Space-group type**: Im-3m (229)
**Uncorrected energy**: -152.9 eV/cell
**Fermi-level density of states**: 0.247 states/eV per atom


Compound: LiScSb2I
Source: Alexandria via LeMat-Bulk
Functional: PBE
Structure: relaxed

Cell: 4.9016 4.9016 5.6359 Å, 90.00 90.00 90.00°
With the nearest neighbours (Å) after each atom.
Element x y z (fractional)
Sb  0.5000  0.0000  0.0000  2 Li 2.45
Sb  0.0000  0.5000  0.0000  2 Li 2.45
Li  0.0000  0.0000  0.0000  4 Sb 2.45
Sc  0.5000  0.5000  0.5000  4 I 3.47, 8 Sb 3.73
I  0.0000  0.0000  0.5000  2 Li 2.82

Properties
**Spin magnetization**: 0.00 μB per atom
**Uncorrected formation energy**: 0.088 eV per atom
**E above lowest polymorph**: 266.6 meV/atom
**Space-group type**: P4/mmm (123)
**Uncorrected energy**: -17.6 eV/cell
**Fermi-level density of states**: 0.459 states/eV per atom


Compound: AcS4
Source: Alexandria via LeMat-Bulk
Functional: PBE
Structure: relaxed

Cell: 5.8443 5.8443 5.8443 Å, 90.00 90.00 90.00°
With the nearest neighbours (Å) after each atom.
Element x y z (fractional)
S  0.5000  0.5000  0.0000  2 Ac 2.92
S  0.0000  0.0000  0.0000  12 S 4.13
S  0.0000  0.5000  0.5000  2 Ac 2.92
S  0.5000  0.0000  0.5000  2 Ac 2.92
Ac  0.5000  0.5000  0.5000  6 S 2.92

Properties
**Spin magnetization**: 1.00 μB per atom
**Uncorrected formation energy**: 0.299 eV per atom
**E above lowest polymorph**: 1160.3 meV/atom
**Space-group type**: Pm-3m (221)
**Uncorrected energy**: -19.1 eV/cell
**Fermi-level density of states**: 1.106 states/eV per atom


Compound: BaCdRu2
Source: Alexandria via LeMat-Bulk
Functional: PBE
Structure: relaxed

Cell: 10.2767 10.2767 10.2767 Å, 17.06 17.06 17.06°
With the nearest neighbours (Å) after each atom.
Element x y z (fractional)
Cd  0.7500  0.7500  0.7500  6 Ru 2.85, 6 Cd 3.05
Ru  0.0096  0.0096  0.0096  3 Cd 2.85, 6 Ru 3.05
Ru  0.4904  0.4904  0.4904  3 Cd 2.85, 6 Ru 3.05
Ba  0.2500  0.2500  0.2500  6 Ba 3.05, 6 Ru 3.33

Properties
**Spin magnetization**: 0.26 μB per atom
**Energy of formation from the pure elements**: 0.992 eV/atom
**Space-group type**: R-3m (166)
**Uncorrected energy**: -17.4 eV/cell
**Fermi-level density of states**: 0.982 states/eV per atom


Compound: YRe2
Source: Alexandria via LeMat-Bulk
Functional: PBE
Structure: relaxed

Cell: 4.8514 4.8514 5.4148 Å, 90.00 90.00 120.00°
With the nearest neighbours (Å) after each atom.
Element x y z (fractional)
Re  0.3333  0.6667  0.2500  5 Y 2.71-2.80
Re  0.6667  0.3333  0.7500  5 Y 2.71-2.80
Re  0.0000  0.0000  0.5000  2 Re 2.71
Re  0.0000  0.0000  0.0000  2 Re 2.71
Y  0.3333  0.6667  0.7500  5 Re 2.71-2.80
Y  0.6667  0.3333  0.2500  5 Re 2.71-2.80

Properties
**Spin magnetization**: 0.00 μB per atom
**Energy of formation from the pure elements**: 0.853 eV/atom
**Space-group type**: P6_3/mmc (194)
**Uncorrected energy**: -57.6 eV/cell
**Fermi-level density of states**: 1.414 states/eV per atom


Compound: TiCu2Br
Source: Alexandria via LeMat-Bulk
Functional: PBE
Structure: relaxed

Cell: 7.3530 7.3530 5.7726 Å, 50.44 50.44 90.00°
With the nearest neighbours (Å) after each atom.
Element x y z (fractional)
Cu  0.1207  0.6250  0.2500  2 Cu 2.51, 2 Br 2.65, 2 Ti 2.70
Cu  0.3750  0.3707  0.7500  2 Cu 2.51, 2 Br 2.65, 2 Ti 2.70
Cu  0.6293  0.1250  0.2500  2 Cu 2.51, 2 Br 2.65, 2 Ti 2.70
Cu  0.8750  0.8793  0.7500  2 Cu 2.51, 2 Br 2.65, 2 Ti 2.70
Ti  0.5000  0.5000  0.0000  2 Br 2.51, 4 Cu 2.70
Ti  0.2500  0.7500  0.5000  2 Br 2.51, 4 Cu 2.70
Br  0.0000  0.0000  0.0000  2 Ti 2.51, 4 Cu 2.65
Br  0.7500  0.2500  0.5000  2 Ti 2.51, 4 Cu 2.65

Properties
**Spin magnetization**: 0.22 μB per atom
**Uncorrected formation energy**: 0.281 eV per atom
**E above lowest polymorph**: 0.0 meV/atom
**Space-group type**: I-42d (122)
**Uncorrected energy**: -33.3 eV/cell
**Fermi-level density of states**: 0.677 states/eV per atom


Compound: MoPt2W
Source: Alexandria via LeMat-Bulk
Functional: PBE
Structure: relaxed

Cell: 4.5145 2.7549 4.9839 Å, 90.00 90.00 90.00°
With the nearest neighbours (Å) after each atom.
Element x y z (fractional)
Pt  0.5000  0.1250  0.2893  4 Pt 2.75-2.79, 4 W 2.78, 4 Mo 2.84-2.85
Pt  0.0000  0.1250  0.9594  4 Pt 2.75-2.79, 4 Mo 2.78, 4 W 2.84-2.86
W  0.0000  0.6251  0.4613  2 W 2.75, 8 Pt 2.78-2.86, 2 Mo 2.79
Mo  0.5000  0.6250  0.7899  2 Mo 2.75, 8 Pt 2.78-2.85, 2 W 2.79

Properties
**Spin magnetization**: 0.00 μB per atom
**Energy of formation from the pure elements**: -0.299 eV/atom
**E above lowest polymorph**: 0.0 meV/atom
**Space-group type**: Pmm2 (25)
**Uncorrected energy**: -37.1 eV/cell
**Fermi-level density of states**: 0.813 states/eV per atom